A relaxed structure of MnNbMoO6. Source: the Alexandria database, functional PBE with a Hubbard U.

Structure (POSCAR):
```
MnNbMoO6
1.0
4.778 0.000 0.000
0.000 4.778 0.000
0.000 0.000 9.580
Mn Mo O Nb
2 2 12 2
Direct
0.000 0.000 0.000
0.500 0.500 0.500
0.500 0.500 0.166
0.000 0.000 0.666
0.207 0.793 0.821
0.707 0.707 0.321
0.786 0.214 0.178
0.187 0.813 0.498
0.214 0.786 0.178
0.313 0.313 0.998
0.813 0.187 0.498
0.714 0.714 0.678
0.293 0.293 0.321
0.286 0.286 0.678
0.793 0.207 0.821
0.687 0.687 0.998
0.500 0.500 0.838
0.000 0.000 0.338
```

## Properties
- Calculated total energy: -145.1 eV/cell